Compound: FeBrNF2
Source: Alexandria via LeMat-Bulk
Functional: PBE+U
Structure: relaxed

It has space group P4/mmm (No. 123), with a = 4.7748 Å, b = 4.7748 Å, c = 3.7483 Å, α = 90.00°, β = 90.00° and γ = 90.00°. The asymmetric unit holds Fe at (0.0000, 0.0000, 0.0000), Br at (0.5000, 0.5000, 0.5000), N at (0.5000, 0.5000, 0.0000) and F at (0.0000, 0.5000, 0.5000).

Its raw total energy is -0.122 hartree per atom. For the density, the calculation gives 3.6 g cm⁻³.